# 1
Here is a geometry-optimized Tb2Ga4NiPt3 structure from the Alexandria database. Energies are from PBE-GGA.

Results
Energy of formation from the pure elements, eV per atom: -0.874
Spin magnetization, μB per formula unit: 0.00
Space group: P-4m2 (115)
Calculated total energy, eV per formula unit: -54.01

Unit cell a=4.0582 b=4.0582 c=11.1164 alpha=90.00 beta=90.00 gamma=90.00
With the nearest neighbours (Å) after each atom.
Fractional coordinates of all 10 atoms:
Pt  0.0000  0.5000  0.1449  5 Ga 2.51-2.59
Pt  0.5000  0.0000  0.8551  5 Ga 2.51-2.59
Pt  0.0000  0.0000  0.5000  4 Ga 2.49
Ga  0.0000  0.0000  0.0000  4 Pt 2.59, 4 Ga 2.87
Ga  0.0000  0.5000  0.3707  2 Ni 2.49, 3 Pt 2.49-2.51
Ga  0.5000  0.5000  0.0000  4 Pt 2.59, 4 Ga 2.87
Ga  0.5000  0.0000  0.6293  2 Ni 2.49, 3 Pt 2.49-2.51
Tb  0.0000  0.5000  0.7458  6 Pt 3.12-3.40, 8 Ga 3.15-3.48, 2 Ni 3.40
Tb  0.5000  0.0000  0.2542  6 Pt 3.12-3.40, 8 Ga 3.15-3.48, 2 Ni 3.40
Ni  0.5000  0.5000  0.5000  4 Ga 2.49


# 2
Here is a geometry-optimized Tb2Ga3NiPt4 structure from the Alexandria database. Energies are from PBE-GGA.

Results
Energy of formation from the pure elements, eV per atom: -0.880
Spin magnetization, μB per formula unit: 0.00
Space group: P-4m2 (115)
Calculated total energy, eV per formula unit: -57.08

Unit cell a=4.0614 b=4.0614 c=11.0969 alpha=90.00 beta=90.00 gamma=90.00
With the nearest neighbours (Å) after each atom.
Fractional coordinates of all 10 atoms:
Ga  0.0000  0.5000  0.1360  5 Pt 2.47-2.53
Ga  0.5000  0.0000  0.8640  5 Pt 2.47-2.53
Ga  0.0000  0.0000  0.5000  4 Pt 2.57, 4 Ni 2.87
Ni  0.5000  0.5000  0.5000  4 Pt 2.57, 4 Ga 2.87
Pt  0.5000  0.0000  0.6417  3 Ga 2.47-2.57, 2 Ni 2.57
Pt  0.0000  0.5000  0.3583  3 Ga 2.47-2.57, 2 Ni 2.57
Pt  0.0000  0.0000  0.0000  4 Ga 2.53
Pt  0.5000  0.5000  0.0000  4 Ga 2.53
Tb  0.0000  0.5000  0.7386  4 Pt 3.07, 6 Ga 3.19-3.34, 2 Ni 3.34
Tb  0.5000  0.0000  0.2614  4 Pt 3.07, 6 Ga 3.19-3.34, 2 Ni 3.34


# 3
Here is a geometry-optimized GaNiTePt2 structure from the Alexandria database. Energies are from PBE-GGA.

Results
Raw formation energy, eV/atom: 1.15
Spin magnetization, μB per formula unit: 0.00
Space group: P4/mmm (123)
Calculated total energy, eV per formula unit: -18.30

Unit cell a=4.9620 b=5.1854 c=4.9620 alpha=90.00 beta=90.00 gamma=90.00
With the nearest neighbours (Å) after each atom.
Fractional coordinates of all 5 atoms:
Pt  0.0000  0.0000  0.5000  2 Te 2.48
Pt  0.5000  0.0000  0.0000  2 Te 2.48
Ni  0.5000  0.5000  0.5000  4 Ga 3.51, 8 Pt 3.59
Te  0.0000  0.0000  0.0000  4 Pt 2.48, 2 Ga 2.59
Ga  0.0000  0.5000  0.0000  2 Te 2.59


# 4
Here is a geometry-optimized ThGa2Ni2Pt structure from the Alexandria database. Energies are from PBE-GGA.

Results
Energy of formation from the pure elements, eV per atom: -0.111
Spin magnetization, μB per formula unit: 0.00
Space group: P4/mmm (123)
Calculated total energy, eV per formula unit: -31.74

Unit cell a=4.6894 b=4.6894 c=5.4557 alpha=90.00 beta=90.00 gamma=90.00
With the nearest neighbours (Å) after each atom.
Fractional coordinates of all 6 atoms:
Ga  0.5000  0.0000  0.0000  2 Pt 2.34
Ga  0.0000  0.5000  0.0000  2 Pt 2.34
Ni  0.5000  0.5000  0.7274  1 Ni 2.48, 4 Ga 2.78
Ni  0.5000  0.5000  0.2726  1 Ni 2.48, 4 Ga 2.78
Th  0.0000  0.0000  0.5000  2 Pt 2.73
Pt  0.0000  0.0000  0.0000  4 Ga 2.34


# 5
Here is a geometry-optimized Th2Ga3NiPt4 structure from the Alexandria database. Energies are from PBE-GGA.

Results
Energy of formation from the pure elements, eV per atom: -0.876
Spin magnetization, μB per formula unit: 0.00
Space group: P-4m2 (115)
Calculated total energy, eV per formula unit: -62.63

Unit cell a=4.1461 b=4.1461 c=11.0119 alpha=90.00 beta=90.00 gamma=90.00
With the nearest neighbours (Å) after each atom.
Fractional coordinates of all 10 atoms:
Ni  0.5000  0.5000  0.5000  4 Pt 2.59
Ga  0.0000  0.5000  0.1327  5 Pt 2.49-2.54
Ga  0.5000  0.0000  0.8673  5 Pt 2.49-2.54
Ga  0.0000  0.0000  0.5000  4 Pt 2.59
Th  0.0000  0.5000  0.7385  4 Pt 3.12, 6 Ga 3.26-3.35, 2 Ni 3.35
Th  0.5000  0.0000  0.2615  4 Pt 3.12, 6 Ga 3.26-3.35, 2 Ni 3.35
Pt  0.0000  0.0000  0.0000  4 Ga 2.54
Pt  0.5000  0.5000  0.0000  4 Ga 2.54
Pt  0.5000  0.0000  0.6409  3 Ga 2.49-2.59, 2 Ni 2.59
Pt  0.0000  0.5000  0.3591  3 Ga 2.49-2.59, 2 Ni 2.59


# 6
Here is a geometry-optimized ThGa2NiPt2 structure from the Alexandria database. Energies are from PBE-GGA.

Results
Energy of formation from the pure elements, eV per atom: -0.513
Spin magnetization, μB per formula unit: 0.00
Space group: I4/mmm (139)
Calculated total energy, eV per formula unit: -34.41

Unit cell a=3.9635 b=3.9635 c=8.1935 alpha=104.00 beta=104.00 gamma=90.00
With the nearest neighbours (Å) after each atom.
Fractional coordinates of all 6 atoms:
Th  0.5000  0.5000  0.0000  4 Ni 2.80
Ni  0.0000  0.0000  0.0000  2 Ga 2.30
Pt  0.7500  0.2500  0.5000  4 Ga 2.52, 4 Pt 2.80
Pt  0.2500  0.7500  0.5000  4 Ga 2.52, 4 Pt 2.80
Ga  0.1491  0.1491  0.2983  1 Ni 2.30, 4 Pt 2.52
Ga  0.8509  0.8509  0.7017  1 Ni 2.30, 4 Pt 2.52